[1]
Compound: HoMnPt6
Source: Alexandria via LeMat-Bulk
Functional: GGA-PBE
Structure: relaxed

The magnetic moment is 4.23 μB/f.u. For the electronic total energy, the calculation gives -6.930 eV per atom. For the density of states at the Fermi level, the calculation gives 1.14 states/eV per atom. As for the energy of formation: -0.681 eV/atom. For the calculated density, the calculation gives 17.70 g/cm3.

The space group is P4/mmm (No. 123) and the conventional cell measures 4.028, 4.028 and 8.042 Å, with angles of 90.00, 90.00 and 90.00 degrees. The distinct sites, in fractional coordinates, are Ho at (0.000, 0.000, 0.000), Mn at (0.000, 0.000, 0.500), Pt at (0.000, 0.500, 0.263), Pt at (0.500, 0.500, 0.000) and Pt at (0.500, 0.500, 0.500).

---

[2]
Compound: CdAs2F
Source: Alexandria via LeMat-Bulk
Functional: GGA-PBE
Structure: relaxed

The magnetic moment is 0.00 μB/f.u. The excess energy over the best structure of this formula in the dataset comes out at 0 kJ/mol of formula units. For the electronic total energy, the calculation gives -3.526 eV per atom. For the density of states at the Fermi level, the calculation gives 0.40 states/eV per atom. The calculation puts the uncorrected formation energy at -504.4 meV per atom. For the calculated density, the calculation gives 5.97 g/cm3.

The space group is I-42d (No. 122) and the conventional cell measures 3.811, 3.811 and 21.529 Å, with angles of 90.00, 90.00 and 90.00 degrees. The distinct sites, in fractional coordinates, are Cd at (0.000, 0.000, 0.000), As at (0.208, 0.250, 0.125) and F at (0.000, 0.000, 0.500).

---

[3]
Compound: BaPa2CdO8
Source: Alexandria via LeMat-Bulk
Functional: GGA-PBE
Structure: relaxed

The magnetic moment is 2.07 μB/f.u. For the electronic total energy, the calculation gives -7.676 eV per atom. For the density of states at the Fermi level, the calculation gives 0.72 states/eV per atom. The calculation puts the uncorrected formation energy at -2550.9 meV per atom. For the calculated density, the calculation gives 7.94 g/cm3.

The space group is I-4 (No. 82) and the conventional cell measures 5.697, 5.697 and 10.817 Å, with angles of 90.00, 90.00 and 90.00 degrees. The distinct sites, in fractional coordinates, are Ba at (0.000, 0.000, 0.000), Pa at (0.000, 0.000, 0.500), Pa at (0.000, 0.500, 0.750), Cd at (0.000, 0.500, 0.250), O at (0.214, 0.241, 0.630) and O at (0.216, 0.761, 0.630).

---

[4]
Compound: Ta2BH
Source: Alexandria via LeMat-Bulk
Functional: GGA-PBE
Structure: relaxed

The magnetic moment is 0.00 μB/f.u. The excess energy over the best structure of this formula in the dataset comes out at 76 kJ/mol of formula units. For the electronic total energy, the calculation gives -8.516 eV per atom. For the density of states at the Fermi level, the calculation gives 0.22 states/eV per atom. For the calculated density, the calculation gives 11.57 g/cm3.

The space group is R-3m (No. 166, hexagonal axes) and the conventional cell measures 3.2046, 3.2046 and 18.0863 Å, with angles of 90.00, 90.00 and 120.00 degrees. The distinct sites, in fractional coordinates, are Ta at (0.0000, 0.0000, 0.0971), B at (0.0000, 0.0000, 0.5000) and H at (0.0000, 0.0000, 0.0000).

---

[5]
Compound: MnTc2Rh
Source: Alexandria via LeMat-Bulk
Functional: GGA-PBE
Structure: relaxed

The magnetic moment is 2.06 μB/f.u. The excess energy over the best structure of this formula in the dataset comes out at 16 kJ/mol of formula units. For the electronic total energy, the calculation gives -9.299 eV per atom. For the density of states at the Fermi level, the calculation gives 1.11 states/eV per atom. As for the energy of formation: 0.014 eV/atom. For the calculated density, the calculation gives 10.55 g/cm3.

The space group is Pmm2 (No. 25) and the conventional cell measures 2.696, 3.818 and 5.414 Å, with angles of 90.00, 90.00 and 90.00 degrees. The distinct sites, in fractional coordinates, are Mn at (0.000, 0.000, 0.000), Tc at (0.000, 0.000, 0.503), Tc at (0.500, 0.500, 0.756) and Rh at (0.500, 0.500, 0.244).

---

[6]
Compound: MnOsRu2
Source: Alexandria via LeMat-Bulk
Functional: GGA-PBE
Structure: relaxed

The magnetic moment is 3.48 μB/f.u. The excess energy over the best structure of this formula in the dataset comes out at 142 kJ/mol of formula units. For the electronic total energy, the calculation gives -9.293 eV per atom. For the density of states at the Fermi level, the calculation gives 1.73 states/eV per atom. As for the energy of formation: 0.445 eV/atom. For the calculated density, the calculation gives 13.13 g/cm3.

The space group is Cmmm (No. 65) and the conventional cell measures 2.791, 4.539 and 8.929 Å, with angles of 90.00, 90.00 and 90.00 degrees. The distinct sites, in fractional coordinates, are Mn at (0.000, 0.000, 0.000), Os at (0.000, 0.000, 0.500) and Ru at (0.000, 0.500, 0.240).